(1)
Entry from the Alexandria database: a relaxed structure of Cs12HAu7 (GGA-PBE).

Values from the calculation:
- Raw total energy: -2.060 eV per atom
- Mass density: 4.86 g cm⁻³

abc: 18.1978 18.1978 10.6243
angles: 90.00 90.00 120.00
Space group R-3 (No. 148, hexagonal axes)
Asymmetric unit:
Cs  0.0089  0.1489  0.1699 [18 per cell]
Cs  0.0386  0.2651  0.5766 [18 per cell]
H  0.0000  0.0000  0.0000 [3 per cell]
Au  0.0000  0.0000  0.5000 [3 per cell]
Au  0.0339  0.4610  0.5832 [18 per cell]

---

(2)
Entry from the Alexandria database: a relaxed structure of NdDy6In2 (GGA-PBE).

Values from the calculation:
- Raw total energy: -3.677 eV per atom
- Calculated formation energy: 530 meV/atom
- Mass density: 6.67 g cm⁻³
- Relative energy among the computed polymorphs: 726.5 meV per atom

abc: 5.6603 5.6603 20.9492
angles: 90.00 90.00 90.00
Space group I-42m (No. 121)
Asymmetric unit:
Nd  0.0000  0.0000  0.0000 [2 per cell]
Dy  0.0000  0.5000  0.2500 [4 per cell]
Dy  0.1936  0.1936  0.5672 [8 per cell]
In  0.0000  0.0000  0.3090 [4 per cell]